1.
A geometry-optimized Tl3GaPb structure. Source: Alexandria, functional GGA-PBE.

Properties
The value obtained for the density of states at the Fermi level is 0.42 states/eV per atom. For the magnetization, the calculation gives 0.00 μB/f.u. For the formation energy, the calculation gives 0.26 eV/atom.

Unit cell a=5.4849 b=5.4849 c=5.4849 alpha=90.00 beta=90.00 gamma=90.00
Closest atoms and distances in Å follow each position.
Fractional positions:
Tl1 0.0000 0.0000 0.5000  2 Ga 2.74
Tl2 0.0000 0.5000 0.0000  2 Ga 2.74
Tl3 0.5000 0.0000 0.0000  2 Ga 2.74
Ga1 0.0000 0.0000 0.0000  6 Tl 2.74
Pb1 0.5000 0.5000 0.5000  12 Tl 3.88

***

2.
A geometry-optimized MnNb2MoN structure. Source: Alexandria, functional GGA-PBE.

Properties
The value obtained for the density of states at the Fermi level is 0.66 states/eV per atom. For the magnetization, the calculation gives 2.36 μB/f.u. Its uncorrected formation energy is -0.3507 eV per atom.

Unit cell a=4.3751 b=4.3751 c=3.6948 alpha=90.00 beta=90.00 gamma=90.00
Closest atoms and distances in Å follow each position.
Fractional positions:
Mn1 0.0000 0.0000 0.0000  2 N 1.85
Nb1 0.0000 0.5000 0.5000  2 N 2.19
Nb2 0.5000 0.0000 0.5000  2 N 2.19
Mo1 0.5000 0.5000 0.0000  8 Nb 2.86, 4 Mn 3.09
N1 0.0000 0.0000 0.5000  2 Mn 1.85

***

3.
A geometry-optimized SrCd3In3 structure. Source: Alexandria, functional GGA-PBE.

Properties
The value obtained for the density of states at the Fermi level is 0.42 states/eV per atom. For the magnetization, the calculation gives 0.00 μB/f.u. For the formation energy, the calculation gives -0.15 eV/atom.

Unit cell a=7.9796 b=7.9796 c=7.9796 alpha=63.68 beta=63.68 gamma=63.68
Closest atoms and distances in Å follow each position.
Fractional positions:
Sr1 0.1278 0.1278 0.1278  6 In 3.51-3.87, 3 Cd 3.55
Sr2 0.8722 0.8722 0.8722  6 In 3.51-3.87, 3 Cd 3.55
Cd1 0.1859 0.5675 0.5652  4 Cd 2.95-3.20, 4 In 3.02-3.17
Cd2 0.4325 0.4348 0.8141  4 Cd 2.95-3.20, 4 In 3.02-3.17
Cd3 0.4348 0.8141 0.4325  4 Cd 2.95-3.20, 4 In 3.02-3.17
Cd4 0.5652 0.1859 0.5675  4 Cd 2.95-3.20, 4 In 3.02-3.17
Cd5 0.5675 0.5652 0.1859  4 Cd 2.95-3.20, 4 In 3.02-3.17
Cd6 0.8141 0.4325 0.4348  4 Cd 2.95-3.20, 4 In 3.02-3.17
In1 0.1744 0.5665 0.1752  4 Cd 3.02-3.17, 4 In 3.14-3.30
In2 0.1752 0.1744 0.5665  4 Cd 3.02-3.17, 4 In 3.14-3.30
In3 0.4335 0.8248 0.8256  4 Cd 3.02-3.17, 4 In 3.14-3.30
In4 0.5665 0.1752 0.1744  4 Cd 3.02-3.17, 4 In 3.14-3.30
In5 0.8248 0.8256 0.4335  4 Cd 3.02-3.17, 4 In 3.14-3.30
In6 0.8256 0.4335 0.8248  4 Cd 3.02-3.17, 4 In 3.14-3.30

***

4.
A geometry-optimized CdIn2Ag7Sn2 structure. Source: Alexandria, functional GGA-PBE.

Properties
The value obtained for the density of states at the Fermi level is 0.35 states/eV per atom. For the magnetization, the calculation gives 0.00 μB/f.u. For the formation energy, the calculation gives 0.06 eV/atom.

Unit cell a=4.0285 b=4.0285 c=16.1293 alpha=96.48 beta=96.48 gamma=90.04
Closest atoms and distances in Å follow each position.
Fractional positions:
Cd1 0.0000 0.0000 0.0000  12 Ag 2.85-3.02
In1 0.3643 0.3643 0.7256  5 Ag 2.90-2.96, 4 Sn 3.17-3.23
In2 0.6357 0.6357 0.2744  5 Ag 2.90-2.96, 4 Sn 3.17-3.23
Ag1 0.0677 0.5666 0.1403  6 Ag 2.84-3.02, 2 In 2.92-2.96, 2 Cd 3.00-3.02
Ag2 0.2727 0.2727 0.5438  1 Sn 2.82, 1 In 2.90, 1 Ag 3.14
Ag3 0.4334 0.9323 0.8597  6 Ag 2.84-3.02, 2 In 2.92-2.96, 2 Cd 3.00-3.02
Ag4 0.5000 0.5000 0.0000  4 Cd 2.85, 8 Ag 3.00-3.02
Ag5 0.5666 0.0677 0.1403  6 Ag 2.84-3.02, 2 In 2.92-2.96, 2 Cd 3.00-3.02
Ag6 0.7273 0.7273 0.4562  1 Sn 2.82, 1 In 2.90, 1 Ag 3.14
Ag7 0.9323 0.4334 0.8597  6 Ag 2.84-3.02, 2 In 2.92-2.96, 2 Cd 3.00-3.02
Sn1 0.1834 0.1834 0.3665  1 Ag 2.82
Sn2 0.8166 0.8166 0.6335  1 Ag 2.82

***

5.
A geometry-optimized ZrCd3Pd structure. Source: Alexandria, functional GGA-PBE.

Properties
The value obtained for the density of states at the Fermi level is 0.70 states/eV per atom. For the magnetization, the calculation gives 0.00 μB/f.u. For the formation energy, the calculation gives 0.39 eV/atom.

Unit cell a=5.0113 b=5.0113 c=5.0113 alpha=90.00 beta=90.00 gamma=90.00
Closest atoms and distances in Å follow each position.
Fractional positions:
Zr1 0.0000 0.0000 0.0000  12 Cd 3.54
Cd1 0.0000 0.5000 0.5000  2 Pd 2.51
Cd2 0.5000 0.0000 0.5000  2 Pd 2.51
Cd3 0.5000 0.5000 0.0000  2 Pd 2.51
Pd1 0.5000 0.5000 0.5000  6 Cd 2.51

***

6.
A geometry-optimized LiZr2Ir structure. Source: Alexandria, functional GGA-PBE.

Properties
The value obtained for the density of states at the Fermi level is 0.47 states/eV per atom. For the magnetization, the calculation gives 0.00 μB/f.u. For the formation energy, the calculation gives -0.18 eV/atom.

Unit cell a=4.6199 b=4.6199 c=4.6199 alpha=60.00 beta=60.00 gamma=60.00
Closest atoms and distances in Å follow each position.
Fractional positions:
Li1 0.0000 0.0000 0.0000  4 Ir 2.83, 4 Zr 2.83
Zr1 0.2500 0.2500 0.2500  4 Zr 2.83, 4 Li 2.83
Zr2 0.5000 0.5000 0.5000  4 Ir 2.83, 4 Zr 2.83
Ir1 0.7500 0.7500 0.7500  4 Zr 2.83, 4 Li 2.83